Record 1
A plane-wave DFT calculation with PBE was carried out for a relaxed MgTlTcHg2 crystal.

Cell: 5.304 5.304 5.160 Å, 90.00 90.00 90.00°
Fractional coordinates of all 5 atoms:
Mg  0.000  0.000  0.000
Tl  0.500  0.500  0.000
Tc  0.000  0.000  0.500
Hg  0.000  0.500  0.500
Hg  0.500  0.000  0.500

## Properties
Its space-group type is No. 123. The calculation puts the formation energy from the elements at 0.58 eV per atom. Its total energy is -12.02 eV for the cell shown.

Record 2
A plane-wave DFT calculation with PBE was carried out for a relaxed TcCl crystal.

Cell: 3.374 3.374 26.562 Å, 90.00 90.00 120.00°
Fractional coordinates of all 12 atoms:
Tc  0.000  0.000  0.193
Tc  0.000  0.000  0.807
Tc  0.333  0.667  0.140
Tc  0.333  0.667  0.474
Tc  0.667  0.333  0.526
Tc  0.667  0.333  0.860
Cl  0.000  0.000  0.404
Cl  0.000  0.000  0.596
Cl  0.333  0.667  0.737
Cl  0.333  0.667  0.930
Cl  0.667  0.333  0.070
Cl  0.667  0.333  0.263

## Properties
As for the uncorrected formation energy: -0.1 eV/f.u. Its space-group type is No. 164. Its total energy is -73.71 eV for the cell shown.

Record 3
A plane-wave DFT calculation with PBE was carried out for a relaxed KHfRe3 crystal.

Cell: 4.980 4.980 4.980 Å, 90.00 90.00 90.00°
Fractional coordinates of all 5 atoms:
K  0.000  0.000  0.000
Hf  0.500  0.500  0.500
Re  0.000  0.500  0.500
Re  0.500  0.000  0.500
Re  0.500  0.500  0.000

## Properties
Its space-group type is No. 221. The calculation puts the formation energy from the elements at 2.44 eV per atom. Its total energy is -36.17 eV for the cell shown.

| no. | total moment (μB per formula unit) | ρ (g cm⁻³) |
| --- | --- | --- |
| 1 | 1.12 | 8.33 |
| 2 | 0.00 | 5.08 |
| 3 | 3.98 | 10.44 |